1.
KLiCa2Br6 after structural relaxation, computed with PBE-GGA.

Lattice parameters (Å, degrees): 7.5046 7.5046 20.1200 90.00 90.00 120.00
Space group R3 (No. 146, hexagonal axes)
Inequivalent atoms, fractional coordinates:
K1 0.0000 0.0000 0.0000 [3 per cell]
Li1 0.0000 0.0000 0.5248 [3 per cell]
Ca1 0.0000 0.0000 0.2031 [3 per cell]
Ca2 0.0000 0.0000 0.7154 [3 per cell]
Br1 0.0121 0.3426 0.7866 [9 per cell]
Br2 0.0779 0.7221 0.2809 [9 per cell]

Results
N(E_F): 0.0 states/eV/cell
Calculated volume: 981.3 Å³/cell
Formation energy without anion corrections: -1.850 eV per atom


2.
K3CaMg2Br9 after structural relaxation, computed with PBE-GGA.

Lattice parameters (Å, degrees): 7.7137 7.7137 9.5613 90.00 90.00 120.00
Space group P-3m1 (No. 164)
Inequivalent atoms, fractional coordinates:
K1 0.0000 0.0000 0.0000 [1 per cell]
K2 0.3333 0.6667 0.6959 [2 per cell]
Ca1 0.0000 0.0000 0.5000 [1 per cell]
Mg1 0.3333 0.6667 0.1637 [2 per cell]
Br1 0.0000 0.5000 0.0000 [3 per cell]
Br2 0.1707 0.3414 0.3215 [6 per cell]

Results
N(E_F): 0.0 states/eV/cell
Calculated volume: 492.7 Å³/cell
Formation energy without anion corrections: -1.653 eV per atom


3.
K2CaMgBr6 after structural relaxation, computed with PBE-GGA.

Lattice parameters (Å, degrees): 7.563 7.841 13.204 90.00 124.74 90.00
Space group P2_1/c (No. 14)
Inequivalent atoms, fractional coordinates:
K1 0.227 0.067 0.249 [4 per cell]
Ca1 0.500 0.000 0.000 [2 per cell]
Mg1 0.000 0.000 0.500 [2 per cell]
Br1 0.144 0.211 0.954 [4 per cell]
Br2 0.246 0.694 0.955 [4 per cell]
Br3 0.330 0.019 0.740 [4 per cell]

Results
N(E_F): 0.0 states/eV/cell
Calculated volume: 643.4 Å³/cell
Formation energy without anion corrections: -1.748 eV per atom


4.
KCaMnBr6 after structural relaxation, computed with PBE-GGA.

Lattice parameters (Å, degrees): 7.1833 7.1833 14.2978 90.00 90.00 120.00
Space group P-31c (No. 163)
Inequivalent atoms, fractional coordinates:
K1 0.0000 0.0000 0.0000 [2 per cell]
Ca1 0.3333 0.6667 0.2500 [2 per cell]
Mn1 0.3333 0.6667 0.7500 [2 per cell]
Br1 0.0343 0.3873 0.6434 [12 per cell]

Results
N(E_F): 13.1 states/eV/cell
Calculated volume: 638.9 Å³/cell
Formation energy without anion corrections: -1.336 eV per atom


5.
KCaMoBr6 after structural relaxation, computed with PBE-GGA.

Lattice parameters (Å, degrees): 7.1993 7.1993 14.4597 90.00 90.00 120.00
Space group P-31c (No. 163)
Inequivalent atoms, fractional coordinates:
K1 0.0000 0.0000 0.0000 [2 per cell]
Ca1 0.3333 0.6667 0.2500 [2 per cell]
Mo1 0.3333 0.6667 0.7500 [2 per cell]
Br1 0.0300 0.3806 0.6430 [12 per cell]

Results
N(E_F): 0.0 states/eV/cell
Calculated volume: 649.0 Å³/cell
Formation energy without anion corrections: -1.295 eV per atom


6.
K2CaNpBr8 after structural relaxation, computed with PBE-GGA.

Lattice parameters (Å, degrees): 7.065 8.974 7.574 90.00 93.25 90.00
Space group P2/m (No. 10)
Inequivalent atoms, fractional coordinates:
K1 0.000 0.242 0.000 [2 per cell]
Ca1 0.500 0.000 0.500 [1 per cell]
Np1 0.500 0.500 0.500 [1 per cell]
Br1 0.268 0.000 0.190 [2 per cell]
Br2 0.277 0.270 0.629 [4 per cell]
Br3 0.285 0.500 0.185 [2 per cell]

Results
N(E_F): 5.0 states/eV/cell
Calculated volume: 479.4 Å³/cell
Formation energy without anion corrections: -1.586 eV per atom


7.
KCa2NpBr8 after structural relaxation, computed with PBE-GGA.

Lattice parameters (Å, degrees): 6.874 9.049 7.068 90.00 90.25 90.00
Space group P2/m (No. 10)
Inequivalent atoms, fractional coordinates:
K1 0.000 0.000 0.000 [1 per cell]
Ca1 0.500 0.244 0.500 [2 per cell]
Np1 0.000 0.500 0.000 [1 per cell]
Br1 0.246 0.278 0.167 [4 per cell]
Br2 0.268 0.500 0.670 [2 per cell]
Br3 0.276 0.000 0.639 [2 per cell]

Results
N(E_F): 4.4 states/eV/cell
Calculated volume: 439.7 Å³/cell
Formation energy without anion corrections: -1.722 eV per atom


8.
KCaNpBr6 after structural relaxation, computed with PBE-GGA.

Lattice parameters (Å, degrees): 7.5573 7.5573 14.3685 90.00 90.00 120.00
Space group P-31c (No. 163)
Inequivalent atoms, fractional coordinates:
K1 0.0000 0.0000 0.0000 [2 per cell]
Ca1 0.3333 0.6667 0.2500 [2 per cell]
Np1 0.3333 0.6667 0.7500 [2 per cell]
Br1 0.0015 0.3673 0.6359 [12 per cell]

Results
N(E_F): 18.1 states/eV/cell
Calculated volume: 710.7 Å³/cell
Formation energy without anion corrections: -1.669 eV per atom


Which value of formation energy without anion corrections does entry 1 give?
-1.850 eV per atom


The lowest calculated volume belongs to which entry?
KCa2NpBr8


Which of these has the highest formation energy without anion corrections?
KCaMoBr6


What is the calculated volume in the fourth record?
638.9 Å³/cell